8
Lattice="4.0500 0.0000 0.0000 0.0000 4.0500 0.0000 0.0000 0.0000 8.6366" Properties=species:S:1:pos:R:3 comment="PBE-GGA LaCu4As3, optimized geometry" formation_enthalpy_0k_mev_per_atom=-400 energy_ev_per_atom=-4.81 magmom_total_mub_per_cell=0.0 n_ef_per_ev_atom=0.412 pbc="T T T"
La 0.0000 0.0000 0.0000
Cu 0.0000 2.0250 2.8740
Cu 0.0000 2.0250 5.7626
Cu 2.0250 0.0000 2.8740
Cu 2.0250 0.0000 5.7626
As 0.0000 0.0000 4.3183
As 2.0250 2.0250 1.4778
As 2.0250 2.0250 7.1587